The following is a DFT calculation (PBE) of AgSbMo2 after structural relaxation.

```
data_AgSbMo2
_chemical_formula_sum 'Ag1 Sb1 Mo2'
_cell_length_a 4.636
_cell_length_b 4.636
_cell_length_c 4.636
_cell_angle_alpha 60.00
_cell_angle_beta 60.00
_cell_angle_gamma 60.00
_symmetry_space_group_name_H-M 'P 1'
_symmetry_Int_Tables_number 1
loop_
_symmetry_equiv_pos_as_xyz
'x,y,z'
loop_
_atom_site_label
_atom_site_fract_x
_atom_site_fract_y
_atom_site_fract_z
Ag1 0.000 0.000 0.000
Sb1 0.250 0.250 0.250
Mo1 0.500 0.500 0.500
Mo2 0.750 0.750 0.750
```

Values from the calculation:
symmetry: F-43m, No. 216
ρ: 9.93 g cm⁻³
M_tot: 0.00 μB/f.u.
total energy: -26.49 eV per cell

---

The following is a DFT calculation (PBE) of Ag2Sb2Mo after structural relaxation.

```
data_Ag2Sb2Mo
_chemical_formula_sum 'Ag2 Sb2 Mo1'
_cell_length_a 7.283
_cell_length_b 7.283
_cell_length_c 7.283
_cell_angle_alpha 145.67
_cell_angle_beta 145.67
_cell_angle_gamma 49.34
_symmetry_space_group_name_H-M 'P 1'
_symmetry_Int_Tables_number 1
loop_
_symmetry_equiv_pos_as_xyz
'x,y,z'
loop_
_atom_site_label
_atom_site_fract_x
_atom_site_fract_y
_atom_site_fract_z
Ag1 0.098 0.098 0.000
Ag2 0.902 0.902 0.000
Sb1 0.250 0.750 0.500
Sb2 0.750 0.250 0.500
Mo1 0.500 0.500 0.000
```

Values from the calculation:
symmetry: I4/mmm, No. 139
ρ: 7.54 g cm⁻³
M_tot: 4.23 μB/f.u.
total energy: -20.42 eV per cell

---

The following is a DFT calculation (PBE) of AgSb2Mo after structural relaxation.

```
data_AgSb2Mo
_chemical_formula_sum 'Ag1 Sb2 Mo1'
_cell_length_a 4.788
_cell_length_b 4.788
_cell_length_c 5.715
_cell_angle_alpha 100.07
_cell_angle_beta 100.07
_cell_angle_gamma 41.31
_symmetry_space_group_name_H-M 'P 1'
_symmetry_Int_Tables_number 1
loop_
_symmetry_equiv_pos_as_xyz
'x,y,z'
loop_
_atom_site_label
_atom_site_fract_x
_atom_site_fract_y
_atom_site_fract_z
Ag1 0.000 0.000 0.000
Sb1 0.232 0.232 0.718
Sb2 0.768 0.768 0.282
Mo1 0.500 0.500 0.500
```

Values from the calculation:
symmetry: C2/m, No. 12
ρ: 8.74 g cm⁻³
M_tot: 0.00 μB/f.u.
total energy: -20.55 eV per cell

---

The following is a DFT calculation (PBE) of AgSb2Mo after structural relaxation.

```
data_AgSb2Mo
_chemical_formula_sum 'Ag1 Sb2 Mo1'
_cell_length_a 4.646
_cell_length_b 3.364
_cell_length_c 5.737
_cell_angle_alpha 90.00
_cell_angle_beta 113.42
_cell_angle_gamma 90.00
_symmetry_space_group_name_H-M 'P 1'
_symmetry_Int_Tables_number 1
loop_
_symmetry_equiv_pos_as_xyz
'x,y,z'
loop_
_atom_site_label
_atom_site_fract_x
_atom_site_fract_y
_atom_site_fract_z
Ag1 0.000 0.000 0.000
Sb1 0.500 0.000 0.500
Sb2 0.500 0.500 0.000
Mo1 0.000 0.500 0.500
```

Values from the calculation:
symmetry: P2/m, No. 10
ρ: 9.03 g cm⁻³
M_tot: 0.01 μB/f.u.
total energy: -20.32 eV per cell

---

The following is a DFT calculation (PBE) of AgSbMo2 after structural relaxation.

```
data_AgSbMo2
_chemical_formula_sum 'Ag1 Sb1 Mo2'
_cell_length_a 4.938
_cell_length_b 4.938
_cell_length_c 5.024
_cell_angle_alpha 97.47
_cell_angle_beta 97.47
_cell_angle_gamma 35.84
_symmetry_space_group_name_H-M 'P 1'
_symmetry_Int_Tables_number 1
loop_
_symmetry_equiv_pos_as_xyz
'x,y,z'
loop_
_atom_site_label
_atom_site_fract_x
_atom_site_fract_y
_atom_site_fract_z
Ag1 0.000 0.000 0.000
Sb1 0.760 0.760 0.259
Mo1 0.252 0.252 0.742
Mo2 0.508 0.508 0.521
```

Values from the calculation:
symmetry: Cm, No. 8
ρ: 9.85 g cm⁻³
M_tot: 0.00 μB/f.u.
total energy: -26.67 eV per cell

---

The following is a DFT calculation (PBE) of AgSb4Mo after structural relaxation.

```
data_AgSb4Mo
_chemical_formula_sum 'Ag1 Sb4 Mo1'
_cell_length_a 6.147
_cell_length_b 6.147
_cell_length_c 6.147
_cell_angle_alpha 60.00
_cell_angle_beta 60.00
_cell_angle_gamma 60.00
_symmetry_space_group_name_H-M 'P 1'
_symmetry_Int_Tables_number 1
loop_
_symmetry_equiv_pos_as_xyz
'x,y,z'
loop_
_atom_site_label
_atom_site_fract_x
_atom_site_fract_y
_atom_site_fract_z
Ag1 0.000 0.000 0.000
Sb1 0.374 0.374 0.374
Sb2 0.374 0.374 0.877
Sb3 0.374 0.877 0.374
Sb4 0.877 0.374 0.374
Mo1 0.750 0.750 0.750
```

Values from the calculation:
symmetry: F-43m, No. 216
ρ: 6.98 g cm⁻³
M_tot: 4.25 μB/f.u.
total energy: -24.71 eV per cell

---

The following is a DFT calculation (PBE) of AgSbMo2 after structural relaxation.

```
data_AgSbMo2
_chemical_formula_sum 'Ag1 Sb1 Mo2'
_cell_length_a 2.888
_cell_length_b 2.888
_cell_length_c 9.014
_cell_angle_alpha 90.00
_cell_angle_beta 90.00
_cell_angle_gamma 106.69
_symmetry_space_group_name_H-M 'P 1'
_symmetry_Int_Tables_number 1
loop_
_symmetry_equiv_pos_as_xyz
'x,y,z'
loop_
_atom_site_label
_atom_site_fract_x
_atom_site_fract_y
_atom_site_fract_z
Ag1 0.000 0.000 0.000
Sb1 0.000 0.000 0.500
Mo1 0.500 0.500 0.254
Mo2 0.500 0.500 0.746
```

Values from the calculation:
symmetry: Cmmm, No. 65
ρ: 9.72 g cm⁻³
M_tot: 0.00 μB/f.u.
total energy: -25.78 eV per cell

---

The following is a DFT calculation (PBE) of Ag3SbMo after structural relaxation.

```
data_Ag3SbMo
_chemical_formula_sum 'Ag3 Sb1 Mo1'
_cell_length_a 5.193
_cell_length_b 5.193
_cell_length_c 5.193
_cell_angle_alpha 90.00
_cell_angle_beta 90.00
_cell_angle_gamma 90.00
_symmetry_space_group_name_H-M 'P 1'
_symmetry_Int_Tables_number 1
loop_
_symmetry_equiv_pos_as_xyz
'x,y,z'
loop_
_atom_site_label
_atom_site_fract_x
_atom_site_fract_y
_atom_site_fract_z
Ag1 0.000 0.000 0.500
Ag2 0.000 0.500 0.000
Ag3 0.500 0.000 0.000
Sb1 0.000 0.000 0.000
Mo1 0.500 0.500 0.500
```

Values from the calculation:
symmetry: Pm-3m, No. 221
ρ: 6.42 g cm⁻³
M_tot: 5.34 μB/f.u.
total energy: -17.37 eV per cell